Below is VSNF2 after structural relaxation, with properties calculated at the PBE+U level.

Summary:
Spin magnetization (Bohr magnetons per cell): 3.16
Excess energy over the best structure of this formula in the dataset (meV per atom): 0.0
Final energy (eV per atom): -5.1960
Mass density (g/cm3): 3.5
Space group: P4/mmm, No. 123

extended XYZ file:
```
5
Lattice="-2.3717 -0.0612 3.1642 3.1002 -0.8400 2.3075 0.6524 3.9611 0.5656" Properties=species:S:1:pos:R:3 pbc="T T T"
N 0.3262 1.9805 0.2828
S 0.6904 1.5299 3.0186
F 1.5501 -0.4200 1.1537
F -1.1859 -0.0306 1.5821
V 0.0000 0.0000 0.0000
```

Below is VS2NF after structural relaxation, with properties calculated at the PBE+U level.

Summary:
Spin magnetization (Bohr magnetons per cell): 0.66
Excess energy over the best structure of this formula in the dataset (meV per atom): 874.0
Final energy (eV per atom): -3.8878
Mass density (g/cm3): 3.2
Space group: P4/mmm, No. 123

extended XYZ file:
```
5
Lattice="4.4055 0.0000 0.0000 0.0000 4.4055 0.0000 0.0000 0.0000 3.9227" Properties=species:S:1:pos:R:3 pbc="T T T"
N 0.0000 0.0000 1.9614
S 0.0000 2.2027 0.0000
S 2.2027 0.0000 0.0000
F 0.0000 0.0000 0.0000
V 2.2027 2.2027 1.9614
```

Below is VS2NF after structural relaxation, with properties calculated at the PBE+U level.

Summary:
Spin magnetization (Bohr magnetons per cell): 2.63
Excess energy over the best structure of this formula in the dataset (meV per atom): 0.0
Final energy (eV per atom): -4.7618
Mass density (g/cm3): 3.0
Space group: P4/mmm, No. 123

extended XYZ file:
```
5
Lattice="-3.9881 2.3515 -0.0708 -0.1040 -0.0369 4.6290 1.9225 3.2627 0.0692" Properties=species:S:1:pos:R:3 pbc="T T T"
N 0.9613 1.6313 0.0346
S -0.0520 -0.0185 2.3145
S -1.9941 1.1757 -0.0354
F -1.0848 2.7886 2.3137
V 0.0000 0.0000 0.0000
```

Below is VSNF2 after structural relaxation, with properties calculated at the PBE+U level.

Summary:
Spin magnetization (Bohr magnetons per cell): 3.56
Excess energy over the best structure of this formula in the dataset (meV per atom): 472.1
Final energy (eV per atom): -4.7238
Mass density (g/cm3): 3.1
Space group: P4/mmm, No. 123

extended XYZ file:
```
5
Lattice="-1.7105 -3.6926 -2.2577 1.0376 -2.7067 3.6408 -2.9820 0.5924 1.2903" Properties=species:S:1:pos:R:3 pbc="T T T"
N -1.4910 0.2962 0.6451
S 0.0000 0.0000 0.0000
F 0.5188 -1.3534 1.8204
F -0.8552 -1.8463 -1.1289
V -1.8275 -2.9034 1.3367
```

Below is WSN2F after structural relaxation, with properties calculated at the PBE+U level.

Summary:
Spin magnetization (Bohr magnetons per cell): 2.80
Excess energy over the best structure of this formula in the dataset (meV per atom): 105.4
Final energy (eV per atom): -5.4586
Mass density (g/cm3): 5.7
Space group: P4/mmm, No. 123

extended XYZ file:
```
5
Lattice="3.9745 0.0000 0.0000 0.0000 3.9745 0.0000 0.0000 0.0000 4.8689" Properties=species:S:1:pos:R:3 pbc="T T T"
S 0.0000 0.0000 2.4345
N 0.0000 1.9872 0.0000
N 1.9872 0.0000 0.0000
W 0.0000 0.0000 0.0000
F 1.9872 1.9872 2.4345
```

Below is WSN2F after structural relaxation, with properties calculated at the PBE+U level.

Summary:
Spin magnetization (Bohr magnetons per cell): 1.46
Excess energy over the best structure of this formula in the dataset (meV per atom): 0.0
Final energy (eV per atom): -5.5640
Mass density (g/cm3): 6.5
Space group: P4/mmm, No. 123

extended XYZ file:
```
5
Lattice="4.0488 0.0000 0.0000 0.0000 4.0488 0.0000 0.0000 0.0000 4.1282" Properties=species:S:1:pos:R:3 pbc="T T T"
S 2.0244 2.0244 2.0641
N 0.0000 2.0244 0.0000
N 2.0244 0.0000 0.0000
W 0.0000 0.0000 0.0000
F 0.0000 0.0000 2.0641
```